Crystalline Rb6ZnCoO5 at its relaxed geometry. Source: the Open Quantum Materials Database, functional GGA+U.

CIF file:
```
data_Rb6ZnCoO5
_space_group_name_H-M_alt 'P 1'
_space_group_IT_number 1
_cell_length_a 6.918
_cell_length_b 6.918
_cell_length_c 6.858
_cell_angle_alpha 91.45
_cell_angle_beta 91.45
_cell_angle_gamma 118.54
loop_
_space_group_symop_operation_xyz
'x,y,z'
loop_
_atom_site_label
_atom_site_type_symbol
_atom_site_fract_x
_atom_site_fract_y
_atom_site_fract_z
Rb1 Rb 0.561 0.141 0.819
Rb2 Rb 0.141 0.561 0.819
Rb3 Rb 0.585 0.113 0.313
Rb4 Rb 0.997 0.997 0.636
Rb5 Rb 0.113 0.585 0.313
Rb6 Rb 0.700 0.700 0.008
Zn1 Zn 0.156 0.156 0.125
O1 O 0.182 0.905 0.041
O2 O 0.513 0.785 0.589
O3 O 0.905 0.182 0.041
O4 O 0.401 0.401 0.263
O5 O 0.785 0.513 0.589
Co1 Co 0.565 0.565 0.499
```

Output
energy	-0.295	Ry per atom
space group	Cm, No. 8
mass density	4.1	Mg/m³